1.
4
Lattice="-3.681 -0.929 0.009 2.944 -6.720 0.284 0.246 4.022 6.138" Properties=species:S:1:pos:R:3 comment="SCAN Ba2CaY, PBEsol geometry" vol_a3_per_atom=43.23 magnetic_moment_mub_per_fu=0.1 formation_enthalpy_0k_mev_per_atom=216 pbc="T T T"
Y -0.246 -1.814 3.216
Ca -1.841 -0.465 0.004
Ba 1.472 -3.360 0.142
Ba 0.123 2.011 3.069

***

2.
14
Lattice="-2.195 -4.672 2.091 7.223 -2.444 2.122 -4.358 4.294 5.021" Properties=species:S:1:pos:R:3 comment="SCAN Ba3CoN3, PBEsol geometry" formation_energy_uncorrected_mev_per_atom=-570 vol_a3_per_atom=21.58 magnetic_moment_mub_per_fu=2.9 pbc="T T T"
Ba -4.169 -0.612 5.382
Ba -1.232 -2.618 3.983
Ba -1.032 -1.137 7.501
Ba 4.839 -2.210 3.851
Ba 1.901 -0.204 5.250
Ba 1.702 -1.684 1.732
Co -1.047 0.880 4.577
Co 1.716 -3.702 4.656
N -2.630 1.466 4.224
N -0.189 -0.048 3.404
N -0.321 1.223 6.103
N 3.299 -4.287 5.009
N 0.859 -2.774 5.829
N 0.991 -4.044 3.130

***

3.
4
Lattice="-0.685 1.721 -1.891 0.229 -3.094 -2.899 -4.522 -1.204 0.928" Properties=species:S:1:pos:R:3 comment="SCAN LiZnIr2, PBEsol geometry" vol_a3_per_atom=13.39 magnetic_moment_mub_per_fu=0.0 formation_enthalpy_0k_mev_per_atom=-212 pbc="T T T"
Zn -2.147 -2.149 -0.985
Ir -3.948 0.358 -0.694
Ir -1.260 0.159 -0.270
Li -0.228 -0.686 -2.395

***

4.
4
Lattice="-2.588 -0.069 1.694 -0.882 -3.928 -1.508 4.053 0.148 3.372" Properties=species:S:1:pos:R:3 comment="SCAN MgZrFe2, PBEsol geometry" vol_a3_per_atom=15.17 magnetic_moment_mub_per_fu=3.1 formation_enthalpy_0k_mev_per_atom=78 pbc="T T T"
Fe 0.153 -0.122 0.229
Fe -0.246 -0.871 2.414
Mg 2.226 -1.777 3.329
Zr 0.767 -2.929 1.053

***

5.
4
Lattice="2.693 0.000 0.000 0.000 4.339 0.000 -1.347 -2.170 4.676" Properties=species:S:1:pos:R:3 comment="SCAN CoRu2Au, PBEsol geometry" vol_a3_per_atom=13.66 magnetic_moment_mub_per_fu=1.8 formation_enthalpy_0k_mev_per_atom=385 pbc="T T T"
Ru 1.347 2.170 2.030
Ru 0.000 0.000 2.647
Au 1.347 0.000 0.000
Co 0.000 2.170 0.000

***

6.
4
Lattice="-1.898 -1.869 -3.962 4.022 0.001 -1.928 1.982 -4.672 4.131" Properties=species:S:1:pos:R:3 comment="SCAN Ba2CoTe, PBEsol geometry" formation_energy_uncorrected_mev_per_atom=-522 vol_a3_per_atom=32.44 magnetic_moment_mub_per_fu=1.1 pbc="T T T"
Ba 0.548 -6.341 -0.149
Ba 3.061 -2.967 -0.067
Co 1.711 -1.724 -2.883
Te -0.068 -2.983 -1.437

***

7.
5
Lattice="4.752 0.000 0.000 0.000 4.752 0.000 0.000 0.000 4.752" Properties=species:S:1:pos:R:3 comment="SCAN YRh3C, PBEsol geometry" vol_a3_per_atom=21.47 magnetic_moment_mub_per_fu=2.3 formation_enthalpy_0k_mev_per_atom=2688 pbc="T T T"
Y 0.000 0.000 0.000
C 2.376 2.376 2.376
Rh 0.000 2.376 0.000
Rh 0.000 0.000 2.376
Rh 2.376 0.000 0.000

***

8.
12
Lattice="3.820 0.000 0.000 0.000 3.820 0.000 -1.910 -1.910 11.471" Properties=species:S:1:pos:R:3 comment="SCAN PtRh2, PBEsol geometry" vol_a3_per_atom=13.95 magnetic_moment_mub_per_fu=0.0 formation_enthalpy_0k_mev_per_atom=-33 pbc="T T T"
Pt 1.910 1.910 9.581
Pt 0.000 0.000 1.890
Pt 0.000 1.910 3.846
Pt 0.000 1.910 7.625
Rh 1.910 1.910 5.740
Rh 0.000 0.000 5.731
Rh 0.000 1.910 0.005
Rh 0.000 1.910 11.466
Rh 1.910 1.910 1.891
Rh 0.000 0.000 9.579
Rh 1.910 0.000 7.627
Rh 1.910 0.000 3.844

***

9.
3
Lattice="-3.908 -2.299 -1.203 -1.140 -3.991 2.185 -3.657 -0.105 2.935" Properties=species:S:1:pos:R:3 comment="SCAN LiScTe, PBEsol geometry" formation_energy_uncorrected_mev_per_atom=-369 vol_a3_per_atom=24.33 magnetic_moment_mub_per_fu=0.0 pbc="T T T"
Sc -2.176 -1.599 0.979
Te 0.000 0.000 0.000
Li -4.353 -3.198 1.958

***

10.
5
Lattice="-0.861 -2.402 -3.554 4.342 1.147 -1.827 1.935 -3.887 2.158" Properties=species:S:1:pos:R:3 comment="SCAN PHRuCl2, PBEsol geometry" final_energy_ev_per_cell=-62.02 vol_a3_per_atom=20.57 magnetic_moment_mub_per_fu=0.7 pbc="T T T"
Ru 0.000 0.000 0.000
H 2.708 -2.571 -1.612
P -0.431 -1.201 -1.777
Cl 0.967 -1.943 1.079
Cl 2.171 0.573 -0.914

***

11.
5
Lattice="4.661 0.000 0.000 0.000 4.661 0.000 -2.330 -2.330 4.426" Properties=species:S:1:pos:R:3 comment="SCAN NaTi2P2, PBEsol geometry" vol_a3_per_atom=19.23 magnetic_moment_mub_per_fu=0.0 formation_enthalpy_0k_mev_per_atom=-455 pbc="T T T"
P 0.000 2.330 2.213
P 2.330 0.000 2.213
Na 0.000 0.000 0.000
Ti 0.000 0.000 2.893
Ti 2.330 2.330 1.534

***

12.
4
Lattice="3.941 0.000 0.000 0.000 3.941 0.000 -1.971 -1.971 3.686" Properties=species:S:1:pos:R:3 comment="SCAN ZrNi2Au, PBEsol geometry" vol_a3_per_atom=14.31 magnetic_moment_mub_per_fu=0.0 formation_enthalpy_0k_mev_per_atom=-475 pbc="T T T"
Ni 0.000 1.971 1.843
Ni 1.971 0.000 1.843
Au 1.971 1.971 0.000
Zr 0.000 0.000 0.000